Zr2InCl | PBE | relaxed

- E_form (uncorrected) (eV/f.u.) = -1.89
- crystal system = trigonal
- symmetry = R-3m

Cell and atoms, written as POSCAR:
```
Zr2InCl
1.0
9.569 0.007 0.004
9.028 3.174 0.004
9.028 1.544 2.773
Zr In Cl
2 1 1
Direct
0.993 0.993 0.993
0.507 0.507 0.507
0.750 0.750 0.750
0.250 0.250 0.250
```

Er2TmTi | PBE | relaxed

- crystal system = trigonal
- symmetry = R3m
- formation enthalpy at 0 K (eV/atom) = 0.1787

Cell and atoms, written as POSCAR:
```
Er2TmTi
1.0
-0.313 1.733 2.890
-2.586 -0.643 2.087
4.977 -7.043 6.744
Er Tm Ti
2 1 1
Direct
0.076 0.076 0.771
0.257 0.257 0.228
0.500 0.500 0.500
0.666 0.666 0.001
```

GaGeAu4 | PBE | relaxed

- crystal system = monoclinic
- symmetry = P2/m
- formation enthalpy at 0 K (eV/atom) = -0.0441

Cell and atoms, written as POSCAR:
```
GaGeAu4
1.0
3.591 0.000 0.000
0.000 9.364 -5.737
0.000 -2.515 8.116
Au Ge Ga
8 2 2
Direct
0.500 0.719 0.556
0.000 0.523 0.855
0.500 0.281 0.444
0.500 0.219 0.056
0.000 0.023 0.355
0.000 0.977 0.645
0.500 0.781 0.944
0.000 0.477 0.145
0.501 0.750 0.250
0.499 0.250 0.750
0.000 0.000 0.000
0.000 0.500 0.500
```

Ag3F8 | PBE | relaxed

- E_form (uncorrected) (eV/f.u.) = -11.47
- crystal system = monoclinic
- symmetry = P2_1/c

Cell and atoms, written as POSCAR:
```
Ag3F8
1.0
-5.381 8.747 -5.451
1.221 -2.079 -4.541
-3.537 -4.950 -4.451
F Ag
16 6
Direct
0.221 0.421 0.310
0.599 0.970 0.296
0.664 0.115 0.664
0.461 0.577 0.188
0.401 0.030 0.704
0.099 0.030 0.204
0.279 0.421 0.810
0.539 0.423 0.812
0.336 0.885 0.336
0.164 0.885 0.836
0.779 0.579 0.690
0.961 0.423 0.312
0.836 0.115 0.164
0.901 0.970 0.796
0.721 0.579 0.190
0.039 0.577 0.688
0.000 0.500 0.000
0.811 0.266 0.488
0.500 0.500 0.500
0.689 0.266 0.988
0.311 0.734 0.012
0.189 0.734 0.512
```

MoPt3C | PBE | relaxed

- crystal system = cubic
- symmetry = Pm-3m
- formation enthalpy at 0 K (eV/atom) = 0.6794

Cell and atoms, written as POSCAR:
```
MoPt3C
1.0
4.214 0.000 0.000
0.000 4.214 0.000
0.000 0.000 4.214
Pt Mo C
3 1 1
Direct
0.000 0.000 0.500
0.500 0.000 0.000
0.000 0.500 0.000
0.500 0.500 0.500
0.000 0.000 0.000
```

ZnTcNi2 | PBE | relaxed

- crystal system = trigonal
- symmetry = R3m
- formation enthalpy at 0 K (eV/atom) = 0.0734

Cell and atoms, written as POSCAR:
```
ZnTcNi2
1.0
8.514 -0.002 -0.001
8.103 2.613 -0.001
8.103 1.273 2.282
Ni Zn Tc
2 1 1
Direct
0.998 0.998 0.998
0.252 0.252 0.252
0.746 0.746 0.746
0.504 0.504 0.504
```

NpSiP3 | PBE | relaxed

- E_form (uncorrected) (eV/f.u.) = -1.27
- crystal system = monoclinic
- symmetry = C2/m

Cell and atoms, written as POSCAR:
```
NpSiP3
1.0
4.181 -0.020 -0.015
0.137 7.411 1.127
0.137 2.961 6.887
P Np Si
6 2 2
Direct
0.500 0.243 0.374
0.985 0.969 0.100
0.500 0.935 0.682
0.482 0.357 0.796
0.985 0.661 0.408
0.002 0.547 0.986
0.998 0.208 0.647
0.487 0.697 0.136
0.742 0.661 0.682
0.742 0.243 0.100
```

La4Hg3 | PBE | relaxed

- crystal system = hexagonal
- symmetry = P6/mmm
- formation enthalpy at 0 K (eV/atom) = -0.2597

Cell and atoms, written as POSCAR:
```
La4Hg3
1.0
3.665 0.516 -5.007
-4.928 -3.803 -0.128
-3.595 4.730 -2.144
La Hg
4 3
Direct
0.667 0.333 0.500
0.000 0.000 0.243
0.333 0.667 0.500
0.000 0.000 0.757
0.500 0.500 0.000
0.500 0.000 0.000
0.000 0.500 0.000
```

BaPt3Rh | PBE | relaxed

- crystal system = cubic
- symmetry = Pm-3m
- formation enthalpy at 0 K (eV/atom) = 2.1229

Cell and atoms, written as POSCAR:
```
BaPt3Rh
1.0
5.261 0.000 0.000
0.000 5.261 0.000
0.000 0.000 5.261
Pt Ba Rh
3 1 1
Direct
0.000 0.000 0.500
0.500 0.000 0.000
0.000 0.500 0.000
0.000 0.000 0.000
0.500 0.500 0.500
```

In2ReSi | PBE | relaxed

- E_form (uncorrected) (eV/f.u.) = 3.09
- crystal system = monoclinic
- symmetry = C2/m

Cell and atoms, written as POSCAR:
```
In2ReSi
1.0
-1.497 3.865 -3.370
-3.177 -1.236 4.113
0.176 2.761 1.922
In Re Si
2 1 1
Direct
0.500 0.500 0.000
0.000 0.000 0.000
0.500 0.000 0.500
0.000 0.500 0.500
```

PuCdGe2 | PBE | relaxed

- crystal system = tetragonal
- symmetry = P4/mmm
- formation enthalpy at 0 K (eV/atom) = -0.0523

Cell and atoms, written as POSCAR:
```
PuCdGe2
1.0
-1.974 -3.000 0.141
1.793 -1.312 -2.825
4.477 -2.751 4.118
Pu Ge Cd
1 2 1
Direct
0.500 0.500 0.500
0.000 0.000 0.783
0.000 0.000 0.217
0.500 0.500 0.000
```

Co2CuOs | PBE | relaxed

- crystal system = orthorhombic
- symmetry = Pmmm
- formation enthalpy at 0 K (eV/atom) = 0.1907

Cell and atoms, written as POSCAR:
```
Co2CuOs
1.0
-0.932 -3.436 -0.160
0.162 0.077 -2.597
5.084 -1.271 -2.325
Co Cu Os
2 1 1
Direct
0.000 0.005 0.995
0.000 0.495 0.505
0.500 0.250 0.250
0.500 0.750 0.750
```

Summary of N(E_F) in states/eV/cell
2.58; 6.57; 2.53; 4.39; 4.53; 5.55; 16.09; 10.72; 5.64; 2.73; 7.40; 4.40
(order as listed above)
Summary of uncorrected energy in eV/atom
-5.894; -5.194; -3.503; -3.181; -6.956; -5.727; -7.173; -3.205; -3.356; -5.064; -6.173; -7.194
(order as listed above)